No. 1
# LiV3Ir

A relaxed LiV3Ir crystal (PBE, Alexandria via LeMat-Bulk).

Cell and atoms, written as CIF:
```
data_LiV3Ir
_chemical_formula_sum 'Li1 V3 Ir1'
_cell_length_a 4.651
_cell_length_b 4.651
_cell_length_c 4.651
_cell_angle_alpha 90.00
_cell_angle_beta 90.00
_cell_angle_gamma 90.00
_space_group_name_H-M_alt 'P m -3 m'
_space_group_IT_number 221
_space_group_name_Hall '-P 4 2 3'
loop_
_atom_site_label
_atom_site_type_symbol
_atom_site_fract_x
_atom_site_fract_y
_atom_site_fract_z
_atom_site_occupancy
Li1 Li 0.000 0.000 0.000 1
V1 V 0.000 0.500 0.500 1
Ir1 Ir 0.500 0.500 0.500 1
```

D(E_F), states/eV/atom: 1.58
Total moment, μB per cell: 0.64
Excess energy over the best structure of this formula in the dataset, kJ per mole of atoms: 0.0

=====

No. 2
# Tm6InRu2

A relaxed Tm6InRu2 crystal (PBE, Alexandria via LeMat-Bulk).

Cell and atoms, written as CIF:
```
data_Tm6InRu2
_chemical_formula_sum 'Tm24 In4 Ru8'
_cell_length_a 9.227
_cell_length_b 9.319
_cell_length_c 10.442
_cell_angle_alpha 90.00
_cell_angle_beta 90.00
_cell_angle_gamma 90.00
_space_group_name_H-M_alt 'I m m m'
_space_group_IT_number 71
_space_group_name_Hall '-I 2 2'
loop_
_atom_site_label
_atom_site_type_symbol
_atom_site_fract_x
_atom_site_fract_y
_atom_site_fract_z
_atom_site_occupancy
Tm1 Tm 0.000 0.206 0.241 1
Tm2 Tm 0.188 0.500 0.167 1
Tm3 Tm 0.210 0.318 0.500 1
In1 In 0.000 0.000 0.000 1
In2 In 0.000 0.000 0.500 1
Ru1 Ru 0.000 0.324 0.000 1
Ru2 Ru 0.000 0.500 0.368 1
```

D(E_F), states/eV/atom: 0.75
Total moment, μB per cell: 0.00

=====

No. 3
# Sr2ZrSc

A relaxed Sr2ZrSc crystal (PBE, Alexandria via LeMat-Bulk).

Cell and atoms, written as CIF:
```
data_Sr2ZrSc
_chemical_formula_sum 'Sr8 Zr4 Sc4'
_cell_length_a 9.133
_cell_length_b 9.133
_cell_length_c 6.635
_cell_angle_alpha 90.00
_cell_angle_beta 90.00
_cell_angle_gamma 90.00
_space_group_name_H-M_alt 'I -4 2 d'
_space_group_IT_number 122
_space_group_name_Hall 'I -4 2bw'
loop_
_atom_site_label
_atom_site_type_symbol
_atom_site_fract_x
_atom_site_fract_y
_atom_site_fract_z
_atom_site_occupancy
Sr1 Sr 0.248 0.250 0.125 1
Zr1 Zr 0.000 0.000 0.500 1
Sc1 Sc 0.000 0.000 0.000 1
```

D(E_F), states/eV/atom: 1.18
Total moment, μB per cell: 11.43
Excess energy over the best structure of this formula in the dataset, kJ per mole of atoms: 56.0

=====

No. 4
# DyErCoPd

A relaxed DyErCoPd crystal (PBE, Alexandria via LeMat-Bulk).

Cell and atoms, written as CIF:
```
data_DyErCoPd
_chemical_formula_sum 'Dy4 Er4 Co4 Pd4'
_cell_length_a 6.823
_cell_length_b 6.823
_cell_length_c 6.823
_cell_angle_alpha 90.00
_cell_angle_beta 90.00
_cell_angle_gamma 90.00
_space_group_name_H-M_alt 'F -4 3 m'
_space_group_IT_number 216
_space_group_name_Hall 'F -4 2 3'
loop_
_atom_site_label
_atom_site_type_symbol
_atom_site_fract_x
_atom_site_fract_y
_atom_site_fract_z
_atom_site_occupancy
Dy1 Dy 0.000 0.000 0.000 1
Er1 Er 0.000 0.000 0.500 1
Co1 Co 0.250 0.250 0.750 1
Pd1 Pd 0.250 0.250 0.250 1
```

D(E_F), states/eV/atom: 0.56
Total moment, μB per cell: 0.43
Excess energy over the best structure of this formula in the dataset, kJ per mole of atoms: 3.8

=====

no.,total energy (hartree per atom)
1,-0.2458
2,-0.2118
3,-0.1361
4,-0.2160